Record 1
LiSm6S8 after structural relaxation, computed with PBE.

a b c (Å): 11.256 11.256 11.256
angles (deg): 90.00 90.00 90.00
Space group Fm-3m (No. 225)
Inequivalent atoms, fractional coordinates:
Li (0.000, 0.000, 0.000)
Sm (0.000, 0.250, 0.250)
S (0.000, 0.000, 0.243)
S (0.250, 0.250, 0.250)

The density of states at the Fermi level comes out at 4.58 states/eV/f.u. As for the total energy: -6.207 eV/atom. For the uncorrected formation energy, the calculation gives -1.99 eV per atom.

Record 2
LiSm5S8 after structural relaxation, computed with PBE.

a b c (Å): 8.429 8.429 8.515
angles (deg): 90.00 90.00 90.00
Space group I-4 (No. 82)
Inequivalent atoms, fractional coordinates:
Li (0.000, 0.000, 0.000)
Sm (0.000, 0.500, 0.250)
Sm (0.130, 0.253, 0.629)
S (0.071, 0.319, 0.952)
S (0.075, 0.181, 0.312)

The density of states at the Fermi level comes out at 0.00 states/eV/f.u. As for the total energy: -6.166 eV/atom. For the uncorrected formation energy, the calculation gives -1.99 eV per atom.

Record 3
LiSm4S7 after structural relaxation, computed with PBE.

a b c (Å): 12.965 3.923 11.481
angles (deg): 90.00 105.70 90.00
Space group Cm (No. 8)
Inequivalent atoms, fractional coordinates:
Li (0.000, 0.000, 0.000)
Sm (0.129, 0.000, 0.418)
Sm (0.230, 0.000, 0.866)
Sm (0.319, 0.500, 0.227)
Sm (0.435, 0.000, 0.644)
S (0.083, 0.000, 0.639)
S (0.094, 0.500, 0.903)
S (0.161, 0.000, 0.196)
S (0.288, 0.500, 0.482)
S (0.353, 0.500, 0.784)
S (0.387, 0.000, 0.081)
S (0.467, 0.000, 0.378)

The density of states at the Fermi level comes out at 7.17 states/eV/f.u. As for the total energy: -5.923 eV/atom. For the uncorrected formation energy, the calculation gives -1.78 eV per atom.